Entry 1:
Computed, not measured: crystalline SrCaAg2Bi2 at its relaxed geometry at the GGA-PBE level of DFT.

space group = P-3m1, No. 164
ΔE_f = -0.567 eV/atom

abc: 4.9200 4.9200 8.3327
angles: 90.00 90.00 120.00
With the nearest neighbours (Å) after each atom.
Element x y z (fractional)
Bi 0.3333 0.6667 0.2517  3 Ag 2.87
Bi 0.6667 0.3333 0.7483  3 Ag 2.87
Sr 0.0000 0.0000 0.0000  6 Bi 3.53, 6 Ag 3.78
Ag 0.6667 0.3333 0.2997  3 Bi 2.87
Ag 0.3333 0.6667 0.7003  3 Bi 2.87
Ca 0.0000 0.0000 0.5000  6 Ag 3.29, 6 Bi 3.51

***

Entry 2:
Computed, not measured: crystalline Sb3AsPb at its relaxed geometry at the GGA-PBE level of DFT.

space group = Pm-3m, No. 221
formation energy (no corrections) = 1.217 eV per atom

abc: 5.7233 5.7233 5.7233
angles: 90.00 90.00 90.00
With the nearest neighbours (Å) after each atom.
Element x y z (fractional)
Sb 0.5000 0.0000 0.0000  2 Pb 2.86
Sb 0.0000 0.5000 0.0000  2 Pb 2.86
Sb 0.0000 0.0000 0.5000  2 Pb 2.86
As 0.5000 0.5000 0.5000  12 Sb 4.05
Pb 0.0000 0.0000 0.0000  6 Sb 2.86

***

Entry 3:
Computed, not measured: crystalline RbBe3Al at its relaxed geometry at the GGA-PBE level of DFT.

space group = Pm-3m, No. 221
ΔE_f = 1.026 eV/atom

abc: 4.7063 4.7063 4.7063
angles: 90.00 90.00 90.00
With the nearest neighbours (Å) after each atom.
Element x y z (fractional)
Al 0.0000 0.0000 0.0000  6 Be 2.35
Rb 0.5000 0.5000 0.5000  12 Be 3.33
Be 0.0000 0.0000 0.5000  2 Al 2.35
Be 0.5000 0.0000 0.0000  2 Al 2.35
Be 0.0000 0.5000 0.0000  2 Al 2.35

***

Please write out number 1 again, unchanged.
Computed, not measured: crystalline SrCaAg2Bi2 at its relaxed geometry at the GGA-PBE level of DFT.

space group = P-3m1, No. 164
ΔE_f = -0.567 eV/atom

abc: 4.9200 4.9200 8.3327
angles: 90.00 90.00 120.00
With the nearest neighbours (Å) after each atom.
Element x y z (fractional)
Bi 0.3333 0.6667 0.2517  3 Ag 2.87
Bi 0.6667 0.3333 0.7483  3 Ag 2.87
Sr 0.0000 0.0000 0.0000  6 Bi 3.53, 6 Ag 3.78
Ag 0.6667 0.3333 0.2997  3 Bi 2.87
Ag 0.3333 0.6667 0.7003  3 Bi 2.87
Ca 0.0000 0.0000 0.5000  6 Ag 3.29, 6 Bi 3.51

***

Q: What is the formula in the third record?
A: RbBe3Al